1.
DFT (GGA-PBE) results for a relaxed structure of KTmHgSe3.

Output
Total DFT energy (no corrections) in eV for the cell shown: -46.8
V in A^3/atom: 30.20

Cell lengths 8.8214, 4.2241, 10.1968 Å; angles 90.00, 107.49, 90.00 degrees
Atoms (fractional coordinates):
Hg 0.0888 0.2500 0.1141
Hg 0.9112 0.7500 0.8859
K 0.7791 0.7500 0.2522
K 0.2209 0.2500 0.7478
Se 0.2464 0.7500 0.0488
Se 0.5395 0.2500 0.3501
Se 0.1061 0.2500 0.3753
Se 0.8939 0.7500 0.6247
Se 0.4605 0.7500 0.6499
Se 0.7536 0.2500 0.9512
Tm 0.3290 0.7500 0.3654
Tm 0.6710 0.2500 0.6346



2.
DFT (GGA-PBE) results for a relaxed structure of KHg3WSe4.

Output
Total DFT energy (no corrections) in eV for the cell shown: -30.3
V in A^3/atom: 47.78

Cell lengths 7.5482, 7.5482, 7.5482 Å; angles 90.00, 90.00, 90.00 degrees
Atoms (fractional coordinates):
Hg 0.5000 0.5000 0.0000
Hg 0.5000 0.0000 0.5000
Hg 0.0000 0.5000 0.5000
K 0.0000 0.0000 0.0000
Se 0.3193 0.3193 0.3193
Se 0.6808 0.6808 0.3193
Se 0.6808 0.3193 0.6808
Se 0.3193 0.6808 0.6808
W 0.5000 0.5000 0.5000